Entry from Alexandria via LeMat-Bulk: crystalline RbNa5Be8O11 at its relaxed geometry (PBE-GGA).

Results
The total energy comes out at -5.9229 eV per atom. As for the density of states at the Fermi level: 0.000 states/eV per atom. The formation energy (no corrections) is -56.160 eV/f.u.

a = 6.4863 Å, b = 9.5040 Å, c = 10.7853 Å
α = 64.31°, β = 88.90°, γ = 70.35°
Space group P-1 (No. 2)
Asymmetric unit:
Rb 0.2420 0.2409 0.0580 x2
Na 0.2332 0.7401 0.5365 x2
Na 0.2507 0.9445 0.9705 x2
Na 0.2544 0.4458 0.4837 x2
Na 0.3718 0.1408 0.3725 x2
Na 0.4087 0.6360 0.8557 x2
Be 0.0058 0.5910 0.7466 x2
Be 0.0519 0.9115 0.7237 x2
Be 0.1157 0.7862 0.2729 x2
Be 0.1648 0.2811 0.7588 x2
Be 0.2263 0.6138 0.1516 x2
Be 0.2829 0.1087 0.6477 x2
Be 0.4077 0.8448 0.2994 x2
Be 0.4591 0.3418 0.7844 x2
O 0.0190 0.7701 0.1398 x2
O 0.0304 0.7575 0.7185 x2
O 0.0653 0.2645 0.6248 x2
O 0.1417 0.9606 0.2484 x2
O 0.1958 0.4580 0.7222 x2
O 0.2108 0.4378 0.2087 x2
O 0.2826 0.9276 0.7164 x2
O 0.3755 0.6590 0.3342 x2
O 0.4258 0.1516 0.8201 x2
O 0.4335 0.6456 0.0879 x2
O 0.4810 0.1485 0.5725 x2


Entry from Alexandria via LeMat-Bulk: crystalline RbNaBeO2 at its relaxed geometry (PBE-GGA).

Results
The total energy comes out at -4.8988 eV per atom. As for the density of states at the Fermi level: 0.000 states/eV per atom. The formation energy (no corrections) is -8.565 eV/f.u.

a = 6.0150 Å, b = 4.8441 Å, c = 6.5514 Å
α = 90.00°, β = 99.00°, γ = 90.00°
Space group P2/c (No. 13)
Asymmetric unit:
Rb 0.0000 0.1771 0.2500 x2
Na 0.5000 0.4870 0.7500 x2
Be 0.5000 0.0000 0.0000 x2
O 0.3321 0.2143 0.9801 x4


Entry from Alexandria via LeMat-Bulk: crystalline NaBeReO5 at its relaxed geometry (PBE-GGA).

Results
The total energy comes out at -7.1568 eV per atom. As for the density of states at the Fermi level: 0.000 states/eV per atom. The formation energy (no corrections) is -14.970 eV/f.u.

a = 6.6808 Å, b = 8.5227 Å, c = 7.2866 Å
α = 90.00°, β = 116.62°, γ = 90.00°
Space group C2/c (No. 15)
Asymmetric unit:
Na 0.0000 0.1627 0.2500 x4
Be 0.0000 0.1836 0.7500 x4
Re 0.0000 0.5000 0.0000 x4
O 0.0000 0.4274 0.2500 x4
O 0.0896 0.3011 0.6211 x8
O 0.2033 0.0655 0.8985 x8


Entry from Alexandria via LeMat-Bulk: crystalline Na2Be2ReO6 at its relaxed geometry (PBE-GGA).

Results
The total energy comes out at -6.6314 eV per atom. As for the density of states at the Fermi level: 0.354 states/eV per atom. The formation energy (no corrections) is -20.657 eV/f.u.

a = 5.2008 Å, b = 5.2008 Å, c = 5.9519 Å
α = 90.00°, β = 90.00°, γ = 120.00°
Space group P-3 (No. 147)
Asymmetric unit:
Na 0.3333 0.6667 0.3246 x2
Be 0.3333 0.6667 0.8262 x2
Re 0.0000 0.0000 0.0000 x1
O 0.0900 0.3392 0.8124 x6


Entry from Alexandria via LeMat-Bulk: crystalline Na2BeRhO4 at its relaxed geometry (PBE-GGA).

Results
The total energy comes out at -5.3856 eV per atom. As for the density of states at the Fermi level: 0.601 states/eV per atom. The formation energy (no corrections) is -9.537 eV/f.u.

a = 5.1105 Å, b = 10.9572 Å, c = 17.0759 Å
α = 90.00°, β = 90.00°, γ = 90.00°
Space group Fddd (No. 70, origin choice 2)
Asymmetric unit:
Na 0.1250 0.1250 0.3131 x16
Be 0.1250 0.1250 0.6250 x8
Rh 0.1250 0.1250 0.1250 x8
O 0.0878 0.2800 0.8357 x32


Entry from Alexandria via LeMat-Bulk: crystalline Na4BeRh3O8 at its relaxed geometry (PBE-GGA).

Results
The total energy comes out at -5.6813 eV per atom. As for the density of states at the Fermi level: 0.852 states/eV per atom. The formation energy (no corrections) is -20.179 eV/f.u.

a = 6.1293 Å, b = 6.1293 Å, c = 15.7010 Å
α = 90.00°, β = 90.00°, γ = 120.00°
Space group R-3m (No. 166, hexagonal axes)
Asymmetric unit:
Na 0.0000 0.0000 0.0000 x3
Na 0.0000 0.5000 0.0000 x9
Be 0.0000 0.0000 0.5000 x3
Rh 0.0000 0.5000 0.5000 x9
O 0.0000 0.0000 0.2335 x6
O 0.0165 0.5082 0.2312 x18


Entry from Alexandria via LeMat-Bulk: crystalline Na2Be2RuO6 at its relaxed geometry (PBE-GGA).

Results
The total energy comes out at -6.0343 eV per atom. As for the density of states at the Fermi level: 0.417 states/eV per atom. The formation energy (no corrections) is -17.261 eV/f.u.

a = 5.1242 Å, b = 5.1242 Å, c = 5.8322 Å
α = 90.00°, β = 90.00°, γ = 120.00°
Space group P-3 (No. 147)
Asymmetric unit:
Na 0.3333 0.6667 0.3655 x2
Be 0.3333 0.6667 0.8443 x2
Ru 0.0000 0.0000 0.0000 x1
O 0.0733 0.7326 0.8089 x6


Entry from Alexandria via LeMat-Bulk: crystalline NaBeRuO4 at its relaxed geometry (PBE-GGA).

Results
The total energy comes out at -6.3120 eV per atom. As for the density of states at the Fermi level: 0.558 states/eV per atom. The formation energy (no corrections) is -10.030 eV/f.u.

a = 5.1006 Å, b = 5.1006 Å, c = 7.3828 Å
α = 90.00°, β = 90.00°, γ = 90.00°
Space group I-4 (No. 82)
Asymmetric unit:
Na 0.0000 0.0000 0.0000 x2
Be 0.0000 0.5000 0.7500 x2
Ru 0.0000 0.0000 0.5000 x2
O 0.1457 0.2704 0.6328 x8